(1)
K2RbInHg: optimized geometry, PBE.

a b c (Å): 6.7007 6.7007 5.7375
angles (deg): 90.00 90.00 90.00
With the nearest neighbours (Å) after each atom.
Element x y z (fractional)
Rb  0.5000  0.5000  0.5000  8 K 4.41, 4 In 4.74
In  0.0000  0.0000  0.5000  2 Hg 2.87
K  0.0000  0.5000  0.0000  2 Hg 3.35
K  0.5000  0.0000  0.0000  2 Hg 3.35
Hg  0.0000  0.0000  0.0000  2 In 2.87

Properties
Magnetization (μB per cell): 0.0
Space-group type: P4/mmm, No. 123
Polymorph energy (0 for the lowest one) (eV/atom): 0.000

(2)
KRb2InHg: optimized geometry, PBE.

a b c (Å): 7.2744 7.2744 5.6833
angles (deg): 90.00 90.00 90.00
With the nearest neighbours (Å) after each atom.
Element x y z (fractional)
Rb  0.0000  0.5000  0.0000  2 In 3.64
Rb  0.5000  0.0000  0.0000  2 In 3.64
Hg  0.0000  0.0000  0.5000  2 In 2.84
K  0.5000  0.5000  0.5000  8 Rb 4.62, 4 Hg 5.14
In  0.0000  0.0000  0.0000  2 Hg 2.84

Properties
Magnetization (μB per cell): 0.0
Space-group type: P4/mmm, No. 123
Polymorph energy (0 for the lowest one) (eV/atom): 0.044

(3)
K2RbIn3Hg12: optimized geometry, PBE.

a b c (Å): 9.6595 9.6595 9.6595
angles (deg): 65.07 65.07 65.07
With the nearest neighbours (Å) after each atom.
Element x y z (fractional)
Hg  0.3261  0.3261  0.8484  2 In 2.93, 2 Hg 3.13
Hg  0.6739  0.1516  0.6739  2 In 2.93, 2 Hg 3.13
Hg  0.4959  0.8128  0.8128  1 In 3.07, 2 Hg 3.29, 1 K 3.43
Hg  0.8484  0.3261  0.3261  2 In 2.93, 2 Hg 3.13
Hg  0.8128  0.4959  0.8128  1 In 3.07, 2 Hg 3.29, 1 K 3.43
Hg  0.5041  0.1872  0.1872  1 In 3.07, 2 Hg 3.29, 1 K 3.43
Hg  0.8128  0.8128  0.4959  1 In 3.07, 2 Hg 3.29, 1 K 3.43
Hg  0.1872  0.1872  0.5041  1 In 3.07, 2 Hg 3.29, 1 K 3.43
Hg  0.1516  0.6739  0.6739  2 In 2.93, 2 Hg 3.13
Hg  0.1872  0.5041  0.1872  1 In 3.07, 2 Hg 3.29, 1 K 3.43
Hg  0.6739  0.6739  0.1516  2 In 2.93, 2 Hg 3.13
Hg  0.3261  0.8484  0.3261  2 In 2.93, 2 Hg 3.13
In  0.5000  0.0000  0.0000  6 Hg 2.93-3.07
In  0.0000  0.0000  0.5000  6 Hg 2.93-3.07
In  0.0000  0.5000  0.0000  6 Hg 2.93-3.07
K  0.4186  0.4186  0.4186  9 Hg 3.43-3.64, 1 K 3.70
K  0.5814  0.5814  0.5814  9 Hg 3.43-3.64, 1 K 3.70
Rb  0.0000  0.0000  0.0000  6 Hg 4.20

Properties
Magnetization (μB per cell): 0.0
Space-group type: R-3m, No. 166
VASP energy (eV per formula unit): -15.38

(4)
K2RbInHg: optimized geometry, PBE.

a b c (Å): 6.9284 6.9284 5.7160
angles (deg): 90.00 90.00 90.00
With the nearest neighbours (Å) after each atom.
Element x y z (fractional)
Hg  0.0000  0.0000  0.5000  2 In 2.86
K  0.0000  0.5000  0.0000  2 In 3.46
K  0.5000  0.0000  0.0000  2 In 3.46
In  0.0000  0.0000  0.0000  2 Hg 2.86
Rb  0.5000  0.5000  0.5000  8 K 4.49, 4 Hg 4.90

Properties
Magnetization (μB per cell): 0.0
Space-group type: P4/mmm, No. 123
Polymorph energy (0 for the lowest one) (eV/atom): 0.044

(5)
KInHg2Rh: optimized geometry, PBE.

a b c (Å): 5.3809 5.3809 5.1183
angles (deg): 90.00 90.00 90.00
With the nearest neighbours (Å) after each atom.
Element x y z (fractional)
Hg  0.0000  0.5000  0.0000  2 Rh 2.69
Hg  0.5000  0.0000  0.0000  2 Rh 2.69
K  0.5000  0.5000  0.5000  8 Hg 3.71, 4 In 3.80
In  0.0000  0.0000  0.5000  2 Rh 2.56
Rh  0.0000  0.0000  0.0000  2 In 2.56, 4 Hg 2.69

Properties
Magnetization (μB per cell): 0.0
Space-group type: P4/mmm, No. 123
VASP energy (eV per formula unit): -12.81

(6)
KIn2HgRh: optimized geometry, PBE.

a b c (Å): 5.1668 5.1668 5.4380
angles (deg): 90.00 90.00 90.00
With the nearest neighbours (Å) after each atom.
Element x y z (fractional)
In  0.0000  0.5000  0.0000  2 Rh 2.58
In  0.5000  0.0000  0.0000  2 Rh 2.58
Hg  0.0000  0.0000  0.5000  2 Rh 2.72
K  0.5000  0.5000  0.5000  4 Hg 3.65, 8 In 3.75
Rh  0.0000  0.0000  0.0000  4 In 2.58, 2 Hg 2.72

Properties
Magnetization (μB per cell): 0.0
Space-group type: P4/mmm, No. 123
VASP energy (eV per formula unit): -15.40

(7)
KInHg2S4: optimized geometry, PBE.

a b c (Å): 6.7394 6.7810 6.7810
angles (deg): 71.53 60.20 60.20
With the nearest neighbours (Å) after each atom.
Element x y z (fractional)
Hg  0.1848  0.3152  0.3152  2 S 2.38
Hg  0.8152  0.6848  0.6848  2 S 2.38
S  0.5476  0.4898  0.8477  1 Hg 2.38, 1 In 2.51
S  0.8851  0.5102  0.1523  1 Hg 2.38, 1 In 2.51
S  0.1149  0.8477  0.4898  1 Hg 2.38, 1 In 2.51
S  0.4524  0.1523  0.5102  1 Hg 2.38, 1 In 2.51
K  0.0000  0.0000  0.0000  8 S 3.50-3.53
In  0.5000  0.5000  0.5000  4 S 2.51

Properties
Magnetization (μB per cell): 0.0
Formation energy from raw total energies (eV per atom): -0.536
Space-group type: I222, No. 23

(8)
K2InHg6Sb: optimized geometry, PBE.

a b c (Å): 7.5233 7.5233 15.1660
angles (deg): 75.64 75.64 60.00
With the nearest neighbours (Å) after each atom.
Element x y z (fractional)
Hg  0.6616  0.6616  0.6092  1 In 3.03, 2 Hg 3.05, 1 Sb 3.17
Hg  0.6616  0.0676  0.6092  1 In 3.03, 2 Hg 3.05, 1 Sb 3.17
Hg  0.8048  0.8048  0.1587  1 Sb 2.92, 1 In 2.96, 2 Hg 3.21
Hg  0.3384  0.9324  0.3908  1 In 3.03, 2 Hg 3.05, 1 Sb 3.17
Hg  0.8048  0.2318  0.1587  1 Sb 2.92, 1 In 2.96, 2 Hg 3.21
Hg  0.0676  0.6616  0.6092  1 In 3.03, 2 Hg 3.05, 1 Sb 3.17
Hg  0.2318  0.8048  0.1587  1 Sb 2.92, 1 In 2.96, 2 Hg 3.21
Hg  0.3384  0.3384  0.3908  1 In 3.03, 2 Hg 3.05, 1 Sb 3.17
Hg  0.1952  0.1952  0.8413  1 Sb 2.92, 1 In 2.96, 2 Hg 3.21
Hg  0.1952  0.7682  0.8413  1 Sb 2.92, 1 In 2.96, 2 Hg 3.21
Hg  0.9324  0.3384  0.3908  1 In 3.03, 2 Hg 3.05, 1 Sb 3.17
Hg  0.7682  0.1952  0.8413  1 Sb 2.92, 1 In 2.96, 2 Hg 3.21
In  0.0000  0.0000  0.0000  6 Hg 2.96
In  0.5000  0.5000  0.5000  6 Hg 3.03
Sb  0.4211  0.4211  0.7366  6 Hg 2.92-3.17
Sb  0.5789  0.5789  0.2634  6 Hg 2.92-3.17
K  0.2815  0.2815  0.1556  9 Hg 3.78-3.85
K  0.7185  0.7185  0.8444  9 Hg 3.78-3.85
K  0.1291  0.1291  0.6127  12 Hg 3.68-3.81
K  0.8709  0.8709  0.3873  12 Hg 3.68-3.81

Properties
Magnetization (μB per cell): 0.0
Formation energy from raw total energies (eV per atom): -0.117
Space-group type: R-3m, No. 166

(9)
K2In4Hg3Sb: optimized geometry, PBE.

a b c (Å): 5.0216 5.0216 12.4387
angles (deg): 90.00 90.00 90.00
With the nearest neighbours (Å) after each atom.
Element x y z (fractional)
In  0.0000  0.0000  0.0000  4 Hg 3.00
In  0.5000  0.0000  0.6363  3 Hg 2.88-3.03, 2 Sb 3.03
In  0.0000  0.5000  0.3637  3 Hg 2.88-3.03, 2 Sb 3.03
In  0.5000  0.5000  0.0000  4 Hg 3.00
Hg  0.0000  0.0000  0.5000  4 In 3.03
Hg  0.0000  0.5000  0.1323  5 In 2.88-3.00
Hg  0.5000  0.0000  0.8677  5 In 2.88-3.00
K  0.0000  0.5000  0.7490  8 In 3.82-4.01, 6 Hg 3.85-3.99, 2 Sb 3.99
K  0.5000  0.0000  0.2510  8 In 3.82-4.01, 6 Hg 3.85-3.99, 2 Sb 3.99
Sb  0.5000  0.5000  0.5000  4 In 3.03

Properties
Magnetization (μB per cell): 0.0
Formation energy from raw total energies (eV per atom): -0.166
Space-group type: P-4m2, No. 115

(10)
KInHg2Sb: optimized geometry, PBE.

a b c (Å): 4.7892 5.1530 7.2860
angles (deg): 110.71 109.19 90.00
With the nearest neighbours (Å) after each atom.
Element x y z (fractional)
Sb  0.8318  0.8318  0.6635  3 Hg 2.89-3.11, 2 In 3.05
Hg  0.0579  0.0579  0.1157  1 Sb 2.89, 2 Hg 2.97, 2 In 3.04
Hg  0.6959  0.1959  0.3918  2 Hg 2.97, 2 Sb 3.11
In  0.1836  0.6836  0.3672  2 Hg 3.04, 2 Sb 3.05
K  0.4431  0.4431  0.8861  4 Sb 3.79, 8 Hg 3.81-4.13, 4 In 3.89-4.20

Properties
Magnetization (μB per cell): 0.0
Formation energy from raw total energies (eV per atom): -0.211
Space-group type: Imm2, No. 44
Polymorph energy (0 for the lowest one) (eV/atom): 0.000

(11)
KInHg2Sb: optimized geometry, PBE.

a b c (Å): 5.7581 5.7581 5.7817
angles (deg): 90.00 90.00 90.00
With the nearest neighbours (Å) after each atom.
Element x y z (fractional)
Hg  0.5000  0.0000  0.0000  2 In 2.88
Hg  0.0000  0.5000  0.0000  2 In 2.88
Sb  0.0000  0.0000  0.5000  2 In 2.89
K  0.5000  0.5000  0.5000  4 Sb 4.07, 8 Hg 4.08
In  0.0000  0.0000  0.0000  4 Hg 2.88, 2 Sb 2.89

Properties
Magnetization (μB per cell): 0.0
Formation energy from raw total energies (eV per atom): -0.013
Space-group type: P4/mmm, No. 123
Polymorph energy (0 for the lowest one) (eV/atom): 0.198

(12)
KInHg2Se4: optimized geometry, PBE.

a b c (Å): 7.0072 7.0407 7.0407
angles (deg): 72.47 60.16 60.16
With the nearest neighbours (Å) after each atom.
Element x y z (fractional)
Se  0.4557  0.1452  0.5122  1 Hg 2.51, 1 In 2.64
Se  0.5443  0.4878  0.8548  1 Hg 2.51, 1 In 2.64
Se  0.1130  0.8548  0.4878  1 Hg 2.51, 1 In 2.64
Se  0.8870  0.5122  0.1452  1 Hg 2.51, 1 In 2.64
Hg  0.8176  0.6824  0.6824  2 Se 2.51
Hg  0.1824  0.3176  0.3176  2 Se 2.51
In  0.5000  0.5000  0.5000  4 Se 2.64
K  0.0000  0.0000  0.0000  8 Se 3.64

Properties
Magnetization (μB per cell): 0.0
Formation energy from raw total energies (eV per atom): -0.551
Space-group type: I222, No. 23